[1]
First-principles (PBE) data for a relaxed structure of Th6InTe12, as listed in the Alexandria database.

a = 9.115 Å, b = 9.115 Å, c = 9.115 Å
α = 101.24°, β = 101.24°, γ = 101.24°
Fractional positions:
Te (0.172, 0.423, 0.564)
Te (0.423, 0.564, 0.172)
Te (0.327, 0.057, 0.946)
Te (0.673, 0.943, 0.054)
Te (0.577, 0.436, 0.828)
Te (0.564, 0.172, 0.423)
Te (0.946, 0.327, 0.057)
Te (0.057, 0.946, 0.327)
Te (0.943, 0.054, 0.673)
Te (0.054, 0.673, 0.943)
Te (0.828, 0.577, 0.436)
Te (0.436, 0.828, 0.577)
Th (0.135, 0.631, 0.304)
Th (0.631, 0.304, 0.135)
Th (0.369, 0.696, 0.865)
Th (0.865, 0.369, 0.696)
Th (0.304, 0.135, 0.631)
Th (0.696, 0.865, 0.369)
In (0.000, 0.000, 0.000)

## Properties
- Uncorrected formation energy: -1.0351 eV/atom
- SG: R-3
- Total magnetic moment: 0.00 μB/f.u.
- Density of states at the Fermi level: 0.36 states/eV/atom
- Energy: -5.51 eV per atom

***

[2]
First-principles (PBE) data for a relaxed structure of ThInTe3, as listed in the Alexandria database.

a = 4.347 Å, b = 8.871 Å, c = 9.840 Å
α = 114.72°, β = 90.00°, γ = 90.00°
Fractional positions:
Te (0.250, 0.833, 0.378)
Te (0.250, 0.814, 0.995)
Te (0.750, 0.186, 0.005)
Te (0.250, 0.303, 0.359)
Te (0.750, 0.167, 0.622)
Te (0.750, 0.697, 0.641)
Th (0.750, 0.012, 0.244)
Th (0.250, 0.988, 0.756)
In (0.750, 0.540, 0.296)
In (0.250, 0.460, 0.704)

## Properties
- Uncorrected formation energy: -0.7905 eV/atom
- SG: P2_1/m
- Total magnetic moment: 0.00 μB/f.u.
- Density of states at the Fermi level: 0.51 states/eV/atom
- Energy: -4.71 eV per atom

***

[3]
First-principles (PBE) data for a relaxed structure of ThIn3Te4, as listed in the Alexandria database.

a = 7.693 Å, b = 8.263 Å, c = 9.285 Å
α = 90.00°, β = 90.00°, γ = 107.83°
Fractional positions:
Te (0.008, 0.762, 0.369)
Te (0.995, 0.230, 0.111)
Te (0.992, 0.238, 0.631)
Te (0.495, 0.230, 0.889)
Te (0.508, 0.762, 0.631)
Te (0.505, 0.770, 0.111)
Te (0.005, 0.770, 0.889)
Te (0.492, 0.238, 0.369)
In (0.250, 0.500, 0.376)
In (0.750, 0.500, 0.128)
In (0.250, 0.500, 0.872)
In (0.250, 0.000, 0.616)
In (0.750, 0.000, 0.384)
In (0.750, 0.500, 0.624)
Th (0.250, 0.000, 0.132)
Th (0.750, 0.000, 0.868)

## Properties
- Uncorrected formation energy: -0.5669 eV/atom
- SG: P2/c
- Total magnetic moment: 0.00 μB/f.u.
- Density of states at the Fermi level: 0.39 states/eV/atom
- Energy: -4.09 eV per atom

***

[4]
First-principles (PBE) data for a relaxed structure of Th3Tl3InTe8, as listed in the Alexandria database.

a = 9.259 Å, b = 9.259 Å, c = 9.608 Å
α = 118.81°, β = 90.00°, γ = 120.00°
Fractional positions:
Te (0.741, 0.482, 0.724)
Te (0.753, 0.033, 0.285)
Te (0.280, 0.033, 0.285)
Te (0.247, 0.967, 0.715)
Te (0.248, 0.495, 0.715)
Te (0.259, 0.518, 0.276)
Te (0.720, 0.967, 0.715)
Te (0.752, 0.505, 0.285)
In (0.000, 0.000, 0.500)
Tl (0.000, 0.000, 0.000)
Tl (0.500, 0.500, 0.000)
Tl (0.000, 0.500, 0.000)
Th (0.500, 0.000, 0.500)
Th (0.500, 0.500, 0.500)
Th (0.000, 0.500, 0.500)

## Properties
- Uncorrected formation energy: -0.8111 eV/atom
- SG: R-3m
- Total magnetic moment: 0.00 μB/f.u.
- Energy: -4.63 eV per atom